No. 1
## KCuAg2C4N4 (PBE-GGA)

Data for KCuAg2C4N4 after structural relaxation.

Properties
As for the space group: P2/c. As for the raw total energy: -157.48 eV for the cell shown. As for the density of states at the Fermi level: 0.00 states/eV per cell. The calculation puts the energy relative to the elements, uncorrected at 2.35 eV per formula unit.

Lattice parameters (Å, degrees): 8.0490 7.5574 7.5470 90.00 101.26 90.00
Fractional positions:
K 0.0000 0.2473 0.2500
K 0.0000 0.7527 0.7500
Cu 0.0000 0.2573 0.7500
Cu 0.0000 0.7427 0.2500
Ag 0.5000 0.0000 0.0000
Ag 0.5000 0.0000 0.5000
Ag 0.5000 0.4064 0.2500
Ag 0.5000 0.5936 0.7500
C 0.2825 0.0819 0.5812
C 0.2825 0.9181 0.0812
C 0.2861 0.3994 0.0502
C 0.2861 0.6006 0.5502
C 0.7139 0.3994 0.4498
C 0.7139 0.6006 0.9498
C 0.7175 0.0819 0.9188
C 0.7175 0.9181 0.4188
N 0.1596 0.1294 0.6298
N 0.1596 0.8706 0.1298
N 0.1632 0.3813 0.9381
N 0.1632 0.6187 0.4381
N 0.8368 0.3813 0.5619
N 0.8368 0.6187 0.0619
N 0.8404 0.1294 0.8702
N 0.8404 0.8706 0.3702

No. 2
## CsRbNa2 (PBE-GGA)

Data for CsRbNa2 after structural relaxation.

Properties
As for the space group: Fm-3m. The formation energy is 0.0368 eV/atom. As for the raw total energy: -4.31 eV for the cell shown. As for the density of states at the Fermi level: 2.50 states/eV per cell.

Lattice parameters (Å, degrees): 7.1987 7.1987 7.1987 60.00 60.00 60.00
Fractional positions:
Cs 0.0000 0.0000 0.0000
Rb 0.5000 0.5000 0.5000
Na 0.2500 0.2500 0.2500
Na 0.7500 0.7500 0.7500

No. 3
## Tm2ReHg (PBE-GGA)

Data for Tm2ReHg after structural relaxation.

Properties
As for the space group: P4/mmm. The formation energy is -0.1780 eV/atom. As for the raw total energy: -22.41 eV for the cell shown. As for the density of states at the Fermi level: 4.44 states/eV per cell.

Lattice parameters (Å, degrees): 3.4547 3.4547 7.4583 90.00 90.00 90.00
Fractional positions:
Tm 0.0000 0.0000 0.2186
Tm 0.0000 0.0000 0.7814
Re 0.5000 0.5000 0.0000
Hg 0.5000 0.5000 0.5000

No. 4
## CrNiPd2 (PBE-GGA)

Data for CrNiPd2 after structural relaxation.

Properties
As for the space group: I-4m2. The formation energy is 0.0124 eV/atom. As for the raw total energy: -25.74 eV for the cell shown. As for the density of states at the Fermi level: 5.05 states/eV per cell.

Lattice parameters (Å, degrees): 4.6848 4.6848 4.6848 132.45 132.45 69.52
Fractional positions:
Cr 0.0000 0.0000 0.0000
Ni 0.7500 0.2500 0.5000
Pd 0.2500 0.7500 0.5000
Pd 0.5000 0.5000 0.0000

No. 5
## Ac2CuH6Ir (PBE-GGA)

Data for Ac2CuH6Ir after structural relaxation.

Properties
As for the space group: I4/mmm. As for the raw total energy: -45.02 eV for the cell shown. As for the density of states at the Fermi level: 3.06 states/eV per cell.

Lattice parameters (Å, degrees): 5.7745 5.7745 5.7745 125.90 125.90 80.06
Fractional positions:
Ac 0.2500 0.7500 0.5000
Ac 0.7500 0.2500 0.5000
Cu 0.0000 0.0000 0.0000
H 0.1864 0.1864 0.0000
H 0.2683 0.2683 0.5366
H 0.2683 0.7317 0.0000
H 0.7317 0.2683 0.0000
H 0.7317 0.7317 0.4634
H 0.8136 0.8136 0.0000
Ir 0.5000 0.5000 0.0000

No. 6
## ErGa8Os2 (PBE-GGA)

Data for ErGa8Os2 after structural relaxation.

Properties
As for the space group: C2/m. The formation energy is -0.1835 eV/atom. As for the raw total energy: -53.26 eV for the cell shown. As for the density of states at the Fermi level: 3.65 states/eV per cell.

Lattice parameters (Å, degrees): 6.7180 6.7180 4.7978 98.70 98.70 98.49
Fractional positions:
Er 0.0000 0.0000 0.0000
Ga 0.0975 0.3523 0.6037
Ga 0.2958 0.7042 0.0000
Ga 0.3523 0.0975 0.6037
Ga 0.3694 0.3694 0.2470
Ga 0.6306 0.6306 0.7530
Ga 0.6477 0.9025 0.3963
Ga 0.7042 0.2958 0.0000
Ga 0.9025 0.6477 0.3963
Os 0.2823 0.7177 0.5000
Os 0.7177 0.2823 0.5000